A relaxed AlCd2Hg crystal. Source: Alexandria via LeMat-Bulk, functional PBE-GGA.

Values from the calculation:
- Space group: Pm, No. 6
- Calculated total energy: -1.351 eV per atom

a = 3.037 Å, b = 4.036 Å, c = 7.373 Å
α = 90.00°, β = 96.71°, γ = 90.00°
Sites, in units of the cell vectors:
Al1 0.000 0.000 0.000
Cd1 0.145 0.000 0.481
Cd2 0.559 0.500 0.221
Hg1 0.736 0.500 0.742

=====

A relaxed AlCd2Hg2 crystal. Source: Alexandria via LeMat-Bulk, functional PBE-GGA.

Values from the calculation:
- Space group: P4/mbm, No. 127
- Calculated total energy: -1.049 eV per atom

a = 7.594 Å, b = 7.594 Å, c = 4.228 Å
α = 90.00°, β = 90.00°, γ = 90.00°
Sites, in units of the cell vectors:
Al1 0.000 0.000 0.000
Al2 0.500 0.500 0.000
Cd1 0.141 0.359 0.000
Cd2 0.359 0.859 0.000
Cd3 0.641 0.141 0.000
Cd4 0.859 0.641 0.000
Hg1 0.165 0.665 0.500
Hg2 0.335 0.165 0.500
Hg3 0.665 0.835 0.500
Hg4 0.835 0.335 0.500

=====

A relaxed AlCd2Hg crystal. Source: Alexandria via LeMat-Bulk, functional PBE-GGA.

Values from the calculation:
- Space group: C2/m, No. 12
- Calculated total energy: -1.374 eV per atom

a = 5.898 Å, b = 5.898 Å, c = 5.233 Å
α = 102.97°, β = 102.97°, γ = 29.79°
Sites, in units of the cell vectors:
Al1 0.000 0.000 0.000
Cd1 0.268 0.268 0.762
Cd2 0.732 0.732 0.238
Hg1 0.500 0.500 0.500

=====

A relaxed AlCd2Hg crystal. Source: Alexandria via LeMat-Bulk, functional PBE-GGA.

Values from the calculation:
- Space group: P4/mmm, No. 123
- Calculated total energy: -1.311 eV per atom

a = 4.939 Å, b = 4.939 Å, c = 3.713 Å
α = 90.00°, β = 90.00°, γ = 90.00°
Sites, in units of the cell vectors:
Al1 0.000 0.000 0.000
Cd1 0.000 0.500 0.500
Cd2 0.500 0.000 0.500
Hg1 0.500 0.500 0.000

=====

A relaxed Al2Cd2Hg crystal. Source: Alexandria via LeMat-Bulk, functional PBE-GGA.

Values from the calculation:
- Space group: I4/mmm, No. 139
- Calculated total energy: -1.710 eV per atom

a = 7.082 Å, b = 7.082 Å, c = 7.082 Å
α = 145.43°, β = 145.43°, γ = 49.70°
Sites, in units of the cell vectors:
Al1 0.099 0.099 0.000
Al2 0.901 0.901 0.000
Cd1 0.250 0.750 0.500
Cd2 0.750 0.250 0.500
Hg1 0.500 0.500 0.000

=====

A relaxed AlCd2Hg crystal. Source: Alexandria via LeMat-Bulk, functional PBE-GGA.

Values from the calculation:
- Space group: Cmm2, No. 35
- Calculated total energy: -1.360 eV per atom

a = 3.219 Å, b = 3.219 Å, c = 10.718 Å
α = 90.00°, β = 90.00°, γ = 126.04°
Sites, in units of the cell vectors:
Al1 0.000 0.000 0.000
Cd1 0.000 0.000 0.500
Cd2 0.500 0.500 0.242
Hg1 0.500 0.500 0.761

=====

A relaxed AlCd2Hg crystal. Source: Alexandria via LeMat-Bulk, functional PBE-GGA.

Values from the calculation:
- Space group: P2/m, No. 10
- Calculated total energy: -1.353 eV per atom

a = 3.164 Å, b = 4.256 Å, c = 6.496 Å
α = 90.00°, β = 91.20°, γ = 90.00°
Sites, in units of the cell vectors:
Al1 0.000 0.000 0.000
Cd1 0.496 0.500 0.237
Cd2 0.504 0.500 0.763
Hg1 0.000 0.000 0.500

=====

A relaxed AlCd2Hg crystal. Source: Alexandria via LeMat-Bulk, functional PBE-GGA.

Values from the calculation:
- Space group: I4/mmm, No. 139
- Calculated total energy: -1.343 eV per atom

a = 5.462 Å, b = 5.462 Å, c = 5.462 Å
α = 132.51°, β = 132.51°, γ = 69.42°
Sites, in units of the cell vectors:
Al1 0.000 0.000 0.000
Cd1 0.250 0.750 0.500
Cd2 0.750 0.250 0.500
Hg1 0.500 0.500 0.000

=====

Number 1: ΔE to the lowest computed polymorph 0.028 eV/atom. Number 2: ΔE to the lowest computed polymorph 0.034 eV/atom. Number 3: ΔE to the lowest computed polymorph 0.006 eV/atom. Number 4: ΔE to the lowest computed polymorph 0.068 eV/atom. Number 5: ΔE to the lowest computed polymorph 0.071 eV/atom. Number 6: ΔE to the lowest computed polymorph 0.019 eV/atom. Number 7: ΔE to the lowest computed polymorph 0.026 eV/atom. Number 8: ΔE to the lowest computed polymorph 0.036 eV/atom.